Record 1
A relaxed OsRu2Rh crystal. Source: Alexandria via LeMat-Bulk, functional PBE-GGA.

Cell lengths 8.9562, 8.9562, 8.9562 Å; angles 17.49, 17.49, 17.49 degrees
Closest atoms and distances in Å follow each position.
Sites, in units of the cell vectors:
Ru (0.9990, 0.9990, 0.9990)  3 Os 2.69, 6 Ru 2.72, 3 Rh 2.73
Os (0.2500, 0.2500, 0.2500)  6 Ru 2.69, 6 Os 2.72
Ru (0.5010, 0.5010, 0.5010)  3 Os 2.69, 6 Ru 2.72, 3 Rh 2.73
Rh (0.7500, 0.7500, 0.7500)  6 Rh 2.72, 6 Ru 2.73

Summary:
Its space-group type is R-3m. As for the density of states at the Fermi level: 5.139 states/eV/f.u. The calculation puts the relative energy among the computed polymorphs at 0.107 eV per atom. The value obtained for the total energy is -9.16 eV per atom. The value obtained for the formation energy is 0.1208 eV per atom.

Record 2
A relaxed OsRu2Rh2 crystal. Source: Alexandria via LeMat-Bulk, functional PBE-GGA.

Cell lengths 4.4740, 5.3283, 6.7500 Å; angles 90.00, 109.35, 90.00 degrees
Closest atoms and distances in Å follow each position.
Sites, in units of the cell vectors:
Ru (0.1894, 0.4931, 0.3788)  4 Rh 2.50-2.70, 2 Os 2.51, 1 Ru 2.71
Os (0.3999, 0.0032, 0.7998)  4 Ru 2.37-2.54, 1 Rh 2.65
Ru (0.8106, 0.9931, 0.6212)  4 Rh 2.50-2.70, 2 Os 2.51, 1 Ru 2.71
Rh (0.1928, 0.9619, 0.3856)  5 Ru 2.50-2.70, 1 Os 2.65, 1 Rh 2.73
Ru (0.5982, 0.9485, 0.1965)  2 Os 2.37-2.54, 2 Rh 2.54
Rh (0.9901, 0.7277, 0.9802)  4 Rh 2.68-2.87, 6 Ru 2.69-2.91, 4 Os 2.90-2.91
Rh (0.8072, 0.4619, 0.6144)  5 Ru 2.50-2.70, 1 Os 2.65, 1 Rh 2.73
Rh (0.0099, 0.2277, 0.0198)  4 Rh 2.68-2.87, 6 Ru 2.69-2.91, 4 Os 2.90-2.91
Os (0.6001, 0.5032, 0.2002)  4 Ru 2.37-2.54, 1 Rh 2.65
Ru (0.4018, 0.4485, 0.8035)  2 Os 2.37-2.54, 2 Rh 2.54

Summary:
Its space-group type is Cmc2_1. As for the density of states at the Fermi level: 6.993 states/eV/f.u. The calculation puts the relative energy among the computed polymorphs at 0.000 eV per atom. The value obtained for the total energy is -8.38 eV per atom. The value obtained for the formation energy is 0.5148 eV per atom.

Record 3
A relaxed OsRu2Rh8 crystal. Source: Alexandria via LeMat-Bulk, functional PBE-GGA.

Cell lengths 4.4458, 6.6136, 6.6136 Å; angles 73.57, 78.54, 78.54 degrees
Closest atoms and distances in Å follow each position.
Sites, in units of the cell vectors:
Rh (0.7193, 0.5969, 0.5969)  7 Rh 2.59-2.82, 1 Ru 2.71
Os (0.0000, 0.0000, 0.0000)  4 Ru 2.53-2.76, 6 Rh 2.53-2.59
Rh (0.1224, 0.7535, 0.7535)  2 Ru 2.45-2.51, 3 Rh 2.52-2.73, 1 Os 2.53
Rh (0.2807, 0.4031, 0.4031)  7 Rh 2.59-2.82, 1 Ru 2.71
Rh (0.7869, 0.1889, 0.6458)  4 Rh 2.52-2.82, 1 Ru 2.53, 1 Os 2.59
Rh (0.2131, 0.8111, 0.3542)  4 Rh 2.52-2.82, 1 Ru 2.53, 1 Os 2.59
Rh (0.2131, 0.3542, 0.8111)  4 Rh 2.52-2.82, 1 Ru 2.53, 1 Os 2.59
Ru (0.4494, 0.1394, 0.1394)  5 Rh 2.45-2.71, 1 Os 2.53
Rh (0.7869, 0.6458, 0.1889)  4 Rh 2.52-2.82, 1 Ru 2.53, 1 Os 2.59
Ru (0.5506, 0.8606, 0.8606)  5 Rh 2.45-2.71, 1 Os 2.53
Rh (0.8776, 0.2465, 0.2465)  2 Ru 2.45-2.51, 3 Rh 2.52-2.73, 1 Os 2.53

Summary:
Its space-group type is C2/m. As for the density of states at the Fermi level: 16.891 states/eV/f.u. The calculation puts the relative energy among the computed polymorphs at 0.302 eV per atom. The value obtained for the total energy is -7.47 eV per atom. The value obtained for the formation energy is 0.5876 eV per atom.

Record 4
A relaxed Os2RuRh2 crystal. Source: Alexandria via LeMat-Bulk, functional PBE-GGA.

Cell lengths 7.4078, 7.4078, 2.7244 Å; angles 90.00, 90.00, 90.00 degrees
Closest atoms and distances in Å follow each position.
Sites, in units of the cell vectors:
Os (0.3256, 0.1744, 0.5000)  6 Rh 2.52-2.62, 2 Os 2.72
Rh (0.6232, 0.1232, 0.0000)  6 Os 2.52-2.62, 3 Rh 2.58-2.72
Rh (0.3768, 0.8768, 0.0000)  6 Os 2.52-2.62, 3 Rh 2.58-2.72
Rh (0.1232, 0.3768, 0.0000)  6 Os 2.52-2.62, 3 Rh 2.58-2.72
Ru (0.0000, 0.0000, 0.0000)  2 Ru 2.72, 4 Rh 2.94
Rh (0.8768, 0.6232, 0.0000)  6 Os 2.52-2.62, 3 Rh 2.58-2.72
Os (0.6744, 0.8256, 0.5000)  6 Rh 2.52-2.62, 2 Os 2.72
Os (0.8256, 0.3256, 0.5000)  6 Rh 2.52-2.62, 2 Os 2.72
Ru (0.5000, 0.5000, 0.0000)  2 Ru 2.72, 4 Rh 2.94
Os (0.1744, 0.6744, 0.5000)  6 Rh 2.52-2.62, 2 Os 2.72

Summary:
Its space-group type is P4/mbm. As for the density of states at the Fermi level: 6.165 states/eV/f.u. The calculation puts the relative energy among the computed polymorphs at 0.000 eV per atom. The value obtained for the total energy is -8.80 eV per atom. The value obtained for the formation energy is 0.4872 eV per atom.

Record 5
A relaxed OsRu2Rh crystal. Source: Alexandria via LeMat-Bulk, functional PBE-GGA.

Cell lengths 4.3421, 4.3421, 4.3421 Å; angles 60.00, 60.00, 60.00 degrees
Closest atoms and distances in Å follow each position.
Sites, in units of the cell vectors:
Ru (0.7500, 0.7500, 0.7500)  4 Os 2.66, 4 Rh 2.66
Rh (0.0000, 0.0000, 0.0000)  8 Ru 2.66
Os (0.5000, 0.5000, 0.5000)  8 Ru 2.66
Ru (0.2500, 0.2500, 0.2500)  4 Os 2.66, 4 Rh 2.66

Summary:
Its space-group type is Fm-3m. As for the density of states at the Fermi level: 6.713 states/eV/f.u. The calculation puts the relative energy among the computed polymorphs at 0.561 eV per atom. The value obtained for the total energy is -8.71 eV per atom. The value obtained for the formation energy is 0.5743 eV per atom.

Record 6
A relaxed Os3Ru4Rh12 crystal. Source: Alexandria via LeMat-Bulk, functional PBE-GGA.

Cell lengths 7.9498, 7.9498, 7.9498 Å; angles 109.47, 109.47, 109.47 degrees
Closest atoms and distances in Å follow each position.
Sites, in units of the cell vectors:
Ru (0.5000, 0.5000, 0.5000)  6 Rh 2.51
Rh (0.6403, 0.9004, 0.2601)  2 Ru 2.51, 2 Os 2.55-2.71, 5 Rh 2.58-2.78
Rh (0.6197, 0.2601, 0.3597)  2 Ru 2.51, 2 Os 2.55-2.71, 5 Rh 2.58-2.78
Rh (0.3803, 0.7399, 0.6403)  2 Ru 2.51, 2 Os 2.55-2.71, 5 Rh 2.58-2.78
Rh (0.9004, 0.2601, 0.6403)  2 Ru 2.51, 2 Os 2.55-2.71, 5 Rh 2.58-2.78
Rh (0.2601, 0.3597, 0.6197)  2 Ru 2.51, 2 Os 2.55-2.71, 5 Rh 2.58-2.78
Os (0.5000, 0.0000, 0.5000)  8 Rh 2.55-2.71
Rh (0.3597, 0.0996, 0.7399)  2 Ru 2.51, 2 Os 2.55-2.71, 5 Rh 2.58-2.78
Ru (0.0000, 0.5000, 0.0000)  6 Rh 2.51
Ru (0.0000, 0.0000, 0.5000)  6 Rh 2.51
Ru (0.5000, 0.0000, 0.0000)  6 Rh 2.51
Rh (0.7399, 0.3597, 0.0996)  2 Ru 2.51, 2 Os 2.55-2.71, 5 Rh 2.58-2.78
Rh (0.7399, 0.6403, 0.3803)  2 Ru 2.51, 2 Os 2.55-2.71, 5 Rh 2.58-2.78
Rh (0.3597, 0.6197, 0.2601)  2 Ru 2.51, 2 Os 2.55-2.71, 5 Rh 2.58-2.78
Os (0.0000, 0.5000, 0.5000)  8 Rh 2.55-2.71
Rh (0.2601, 0.6403, 0.9004)  2 Ru 2.51, 2 Os 2.55-2.71, 5 Rh 2.58-2.78
Os (0.5000, 0.5000, 0.0000)  8 Rh 2.55-2.71
Rh (0.0996, 0.7399, 0.3597)  2 Ru 2.51, 2 Os 2.55-2.71, 5 Rh 2.58-2.78
Rh (0.6403, 0.3803, 0.7399)  2 Ru 2.51, 2 Os 2.55-2.71, 5 Rh 2.58-2.78

Summary:
Its space-group type is Im-3. As for the density of states at the Fermi level: 33.743 states/eV/f.u. The value obtained for the total energy is -7.43 eV per atom. The value obtained for the formation energy is 0.9342 eV per atom.